# 1
The following is a DFT calculation (SCAN) of Nb4Al at its PBEsol-relaxed geometry.

Cell: 11.702 11.612 2.791 Å, 84.96 81.30 13.74°
Positions (direct):
Nb1 0.096 0.096 0.904
Nb2 0.301 0.301 0.699
Nb3 0.699 0.699 0.301
Nb4 0.904 0.904 0.096
Al1 0.500 0.500 0.500

Results
Total magnetic moment in μB/f.u.: 0.00
ΔE_f in kJ/mol of atoms: -13
Theoretical density in g/cm³: 7.68
SG: Fmmm, No. 69
N(E_F) in states/eV per cell: 4.541


# 2
The following is a DFT calculation (SCAN) of NbAlNi3 at its PBEsol-relaxed geometry.

Cell: 4.144 4.144 4.144 Å, 90.00 90.00 90.00°
Positions (direct):
Nb1 0.000 0.000 0.000
Al1 0.500 0.500 0.500
Ni1 0.000 0.500 0.500
Ni2 0.500 0.000 0.500
Ni3 0.500 0.500 0.000

Results
Total magnetic moment in μB/f.u.: 0.00
ΔE_f in kJ/mol of atoms: 62
Theoretical density in g/cm³: 6.91
SG: Pm-3m, No. 221
N(E_F) in states/eV per cell: 7.311


# 3
The following is a DFT calculation (SCAN) of NbAlO2 at its PBEsol-relaxed geometry.

Cell: 2.871 2.871 19.650 Å, 90.00 90.00 120.00°
Positions (direct):
Nb1 0.000 0.000 0.000
Nb2 0.333 0.667 0.667
Nb3 0.667 0.333 0.333
Al1 0.000 0.000 0.500
Al2 0.333 0.667 0.167
Al3 0.667 0.333 0.833
O1 0.000 0.000 0.404
O2 0.000 0.000 0.596
O3 0.333 0.667 0.070
O4 0.333 0.667 0.263
O5 0.667 0.333 0.737
O6 0.667 0.333 0.930

Results
Formation energy (no corrections) in eV per atom: -1.988
Total magnetic moment in μB/f.u.: 0.00
Theoretical density in g/cm³: 5.39
SG: R-3m, No. 166
N(E_F) in states/eV per cell: 3.275


# 4
The following is a DFT calculation (SCAN) of NbAl3O at its PBEsol-relaxed geometry.

Cell: 4.067 4.067 4.067 Å, 90.00 90.00 90.00°
Positions (direct):
Nb1 0.000 0.000 0.000
Al1 0.000 0.500 0.500
Al2 0.500 0.000 0.500
Al3 0.500 0.500 0.000
O1 0.500 0.500 0.500

Results
Formation energy (no corrections) in eV per atom: -0.805
Total magnetic moment in μB/f.u.: 0.00
Theoretical density in g/cm³: 4.69
SG: Pm-3m, No. 221
N(E_F) in states/eV per cell: 0.123


# 5
The following is a DFT calculation (SCAN) of NbAlO4 at its PBEsol-relaxed geometry.

Cell: 6.354 6.354 13.052 Å, 105.87 105.87 34.58°
Positions (direct):
Nb1 0.108 0.108 0.365
Nb2 0.199 0.199 0.135
Nb3 0.801 0.801 0.865
Nb4 0.892 0.892 0.635
Al1 0.094 0.094 0.843
Al2 0.195 0.195 0.655
Al3 0.805 0.805 0.345
Al4 0.906 0.906 0.157
O1 0.057 0.057 0.688
O2 0.062 0.062 0.183
O3 0.133 0.133 0.510
O4 0.138 0.138 0.991
O5 0.256 0.256 0.821
O6 0.270 0.270 0.328
O7 0.350 0.350 0.647
O8 0.370 0.370 0.153
O9 0.630 0.630 0.847
O10 0.650 0.650 0.353
O11 0.730 0.730 0.672
O12 0.744 0.744 0.179
O13 0.862 0.862 0.009
O14 0.867 0.867 0.490
O15 0.938 0.938 0.817
O16 0.943 0.943 0.312

Results
Formation energy (no corrections) in eV per atom: -2.980
Total magnetic moment in μB/f.u.: 0.00
Theoretical density in g/cm³: 4.26
SG: C2/m, No. 12
N(E_F) in states/eV per cell: 0.000


# 6
The following is a DFT calculation (SCAN) of Nb3AlP6O24 at its PBEsol-relaxed geometry.

Cell: 8.917 8.917 8.917 Å, 57.95 57.95 57.95°
Positions (direct):
Nb1 0.000 0.000 0.000
Nb2 0.217 0.217 0.217
Nb3 0.718 0.718 0.718
Al1 0.501 0.501 0.501
P1 0.125 0.389 0.812
P2 0.329 0.876 0.609
P3 0.389 0.812 0.125
P4 0.609 0.329 0.876
P5 0.812 0.125 0.389
P6 0.876 0.609 0.329
O1 0.060 0.438 0.295
O2 0.090 0.218 0.850
O3 0.136 0.361 0.994
O4 0.152 0.913 0.784
O5 0.218 0.850 0.090
O6 0.295 0.060 0.438
O7 0.296 0.416 0.642
O8 0.355 0.708 0.588
O9 0.361 0.994 0.136
O10 0.416 0.642 0.296
O11 0.438 0.295 0.060
O12 0.497 0.859 0.634
O13 0.564 0.788 0.944
O14 0.588 0.355 0.708
O15 0.634 0.497 0.859
O16 0.642 0.296 0.416
O17 0.708 0.588 0.355
O18 0.784 0.152 0.913
O19 0.788 0.944 0.564
O20 0.850 0.090 0.218
O21 0.859 0.634 0.497
O22 0.913 0.784 0.152
O23 0.944 0.564 0.788
O24 0.994 0.136 0.361

Results
Formation energy (no corrections) in eV per atom: -2.662
Total magnetic moment in μB/f.u.: 0.00
Theoretical density in g/cm³: 3.04
SG: R3, No. 146
N(E_F) in states/eV per cell: 0.000


# 7
The following is a DFT calculation (SCAN) of Rb2NbAlOs at its PBEsol-relaxed geometry.

Cell: 6.026 6.026 5.101 Å, 90.00 90.00 90.00°
Positions (direct):
Rb1 0.000 0.500 0.000
Rb2 0.500 0.000 0.000
Nb1 0.000 0.000 0.000
Al1 0.000 0.000 0.500
Os1 0.500 0.500 0.500

Results
Total magnetic moment in μB/f.u.: 6.34
ΔE_f in kJ/mol of atoms: 221
Theoretical density in g/cm³: 4.31
SG: P4/mmm, No. 123
N(E_F) in states/eV per cell: 3.957


# 8
The following is a DFT calculation (SCAN) of Sr2NbAlOs at its PBEsol-relaxed geometry.

Cell: 5.796 5.796 4.728 Å, 90.00 90.00 90.00°
Positions (direct):
Sr1 0.000 0.500 0.000
Sr2 0.500 0.000 0.000
Nb1 0.000 0.000 0.500
Al1 0.500 0.500 0.500
Os1 0.000 0.000 0.000

Results
Total magnetic moment in μB/f.u.: 0.99
ΔE_f in kJ/mol of atoms: 68
Theoretical density in g/cm³: 5.07
SG: P4/mmm, No. 123
N(E_F) in states/eV per cell: 4.566


# 9
The following is a DFT calculation (SCAN) of Nb3AlPb at its PBEsol-relaxed geometry.

Cell: 4.718 4.718 4.718 Å, 90.00 90.00 90.00°
Positions (direct):
Nb1 0.000 0.000 0.500
Nb2 0.000 0.500 0.000
Nb3 0.500 0.000 0.000
Al1 0.000 0.000 0.000
Pb1 0.500 0.500 0.500

Results
Total magnetic moment in μB/f.u.: 1.56
ΔE_f in kJ/mol of atoms: 89
Theoretical density in g/cm³: 8.11
SG: Pm-3m, No. 221
N(E_F) in states/eV per cell: 4.013


# 10
The following is a DFT calculation (SCAN) of Nb2AlPd at its PBEsol-relaxed geometry.

Cell: 3.720 3.720 20.071 Å, 90.00 90.00 90.00°
Positions (direct):
Nb1 0.244 0.250 0.125
Nb2 0.250 0.744 0.375
Nb3 0.250 0.756 0.875
Nb4 0.256 0.250 0.625
Nb5 0.744 0.750 0.625
Nb6 0.750 0.244 0.875
Nb7 0.750 0.256 0.375
Nb8 0.756 0.750 0.125
Al1 0.000 0.000 0.000
Al2 0.000 0.500 0.250
Al3 0.500 0.000 0.750
Al4 0.500 0.500 0.500
Pd1 0.000 0.000 0.500
Pd2 0.000 0.500 0.750
Pd3 0.500 0.000 0.250
Pd4 0.500 0.500 0.000

Results
Total magnetic moment in μB/f.u.: 0.00
ΔE_f in kJ/mol of atoms: 11
Theoretical density in g/cm³: 7.63
SG: I-42d, No. 122
N(E_F) in states/eV per cell: 11.295


# 11
The following is a DFT calculation (SCAN) of NbAl2SiPd at its PBEsol-relaxed geometry.

Cell: 4.856 4.856 4.687 Å, 90.00 90.00 90.00°
Positions (direct):
Nb1 0.000 0.000 0.000
Al1 0.000 0.500 0.000
Al2 0.500 0.000 0.000
Si1 0.000 0.000 0.500
Pd1 0.500 0.500 0.500

Results
Formation energy (no corrections) in eV per atom: 0.964
Total magnetic moment in μB/f.u.: 0.00
Theoretical density in g/cm³: 4.23
SG: P4/mmm, No. 123
N(E_F) in states/eV per cell: 4.562


# 12
The following is a DFT calculation (SCAN) of NbAl2Re at its PBEsol-relaxed geometry.

Cell: 3.773 3.773 18.937 Å, 90.00 90.00 90.00°
Positions (direct):
Nb1 0.000 0.000 0.000
Nb2 0.000 0.500 0.250
Nb3 0.500 0.000 0.750
Nb4 0.500 0.500 0.500
Al1 0.246 0.250 0.625
Al2 0.250 0.746 0.875
Al3 0.250 0.754 0.375
Al4 0.254 0.250 0.125
Al5 0.746 0.750 0.125
Al6 0.750 0.246 0.375
Al7 0.750 0.254 0.875
Al8 0.754 0.750 0.625
Re1 0.000 0.000 0.500
Re2 0.000 0.500 0.750
Re3 0.500 0.000 0.250
Re4 0.500 0.500 0.000

Results
Total magnetic moment in μB/f.u.: 0.00
ΔE_f in kJ/mol of atoms: 21
Theoretical density in g/cm³: 8.21
SG: I-42d, No. 122
N(E_F) in states/eV per cell: 10.118


# 13
The following is a DFT calculation (SCAN) of Nb2AlTlRe at its PBEsol-relaxed geometry.

Cell: 4.826 4.826 5.148 Å, 90.00 90.00 90.00°
Positions (direct):
Nb1 0.000 0.500 0.000
Nb2 0.500 0.000 0.000
Al1 0.000 0.000 0.500
Tl1 0.500 0.500 0.500
Re1 0.500 0.500 0.000

Results
Total magnetic moment in μB/f.u.: 0.00
ΔE_f in kJ/mol of atoms: 117
Theoretical density in g/cm³: 8.36
SG: P4/mmm, No. 123
N(E_F) in states/eV per cell: 4.784


# 14
The following is a DFT calculation (SCAN) of NbAl3Ru at its PBEsol-relaxed geometry.

Cell: 4.755 4.755 4.755 Å, 90.00 90.00 90.00°
Positions (direct):
Nb1 0.000 0.000 0.000
Al1 0.000 0.000 0.500
Al2 0.000 0.500 0.000
Al3 0.500 0.000 0.000
Ru1 0.500 0.500 0.500

Results
Total magnetic moment in μB/f.u.: 1.30
ΔE_f in kJ/mol of atoms: 134
Theoretical density in g/cm³: 4.25
SG: Pm-3m, No. 221
N(E_F) in states/eV per cell: 2.168


# 15
The following is a DFT calculation (SCAN) of SrNbAlRu2 at its PBEsol-relaxed geometry.

Cell: 4.525 4.525 4.967 Å, 90.00 90.00 90.00°
Positions (direct):
Sr1 0.000 0.000 0.000
Nb1 0.500 0.500 0.000
Al1 0.000 0.000 0.500
Ru1 0.000 0.500 0.500
Ru2 0.500 0.000 0.500

Results
Total magnetic moment in μB/f.u.: 1.70
ΔE_f in kJ/mol of atoms: 117
Theoretical density in g/cm³: 6.69
SG: P4/mmm, No. 123
N(E_F) in states/eV per cell: 3.571


# 16
The following is a DFT calculation (SCAN) of Nb6AlSb at its PBEsol-relaxed geometry.

Cell: 5.208 5.208 5.208 Å, 90.00 90.00 90.00°
Positions (direct):
Nb1 0.000 0.246 0.500
Nb2 0.000 0.754 0.500
Nb3 0.246 0.500 0.000
Nb4 0.500 0.000 0.246
Nb5 0.500 0.000 0.754
Nb6 0.754 0.500 0.000
Al1 0.000 0.000 0.000
Sb1 0.500 0.500 0.500

Results
Formation energy (no corrections) in eV per atom: -0.293
Total magnetic moment in μB/f.u.: 0.75
Theoretical density in g/cm³: 8.30
SG: Pm-3, No. 200
N(E_F) in states/eV per cell: 11.417


# 17
The following is a DFT calculation (SCAN) of ScNbAlTe2 at its PBEsol-relaxed geometry.

Cell: 5.201 5.201 4.898 Å, 90.00 90.00 90.00°
Positions (direct):
Sc1 0.000 0.000 0.000
Nb1 0.500 0.500 0.000
Al1 0.000 0.000 0.500
Te1 0.000 0.500 0.500
Te2 0.500 0.000 0.500

Results
Formation energy (no corrections) in eV per atom: 0.755
Total magnetic moment in μB/f.u.: 4.45
Theoretical density in g/cm³: 5.26
SG: P4/mmm, No. 123
N(E_F) in states/eV per cell: 2.984


# 18
The following is a DFT calculation (SCAN) of Nb2AlSe at its PBEsol-relaxed geometry.

Cell: 6.433 6.433 6.433 Å, 90.00 90.00 90.00°
Positions (direct):
Nb1 0.250 0.250 0.250
Nb2 0.250 0.250 0.750
Nb3 0.250 0.750 0.250
Nb4 0.250 0.750 0.750
Nb5 0.750 0.250 0.250
Nb6 0.750 0.250 0.750
Nb7 0.750 0.750 0.250
Nb8 0.750 0.750 0.750
Al1 0.000 0.000 0.000
Al2 0.000 0.500 0.500
Al3 0.500 0.000 0.500
Al4 0.500 0.500 0.000
Se1 0.000 0.000 0.500
Se2 0.000 0.500 0.000
Se3 0.500 0.000 0.000
Se4 0.500 0.500 0.500

Results
Formation energy (no corrections) in eV per atom: 0.000
Total magnetic moment in μB/f.u.: 0.00
Theoretical density in g/cm³: 7.28
SG: Fm-3m, No. 225
N(E_F) in states/eV per cell: 14.011


# 19
The following is a DFT calculation (SCAN) of NbAlSi3 at its PBEsol-relaxed geometry.

Cell: 4.831 4.831 4.831 Å, 90.00 90.00 90.00°
Positions (direct):
Nb1 0.000 0.000 0.000
Al1 0.500 0.500 0.500
Si1 0.000 0.000 0.500
Si2 0.000 0.500 0.000
Si3 0.500 0.000 0.000

Results
Formation energy (no corrections) in eV per atom: 0.826
Total magnetic moment in μB/f.u.: 0.00
Theoretical density in g/cm³: 3.01
SG: Pm-3m, No. 221
N(E_F) in states/eV per cell: 3.136


# 20
The following is a DFT calculation (SCAN) of Sm6Nb4Al43 at its PBEsol-relaxed geometry.

Cell: 11.071 11.071 17.861 Å, 90.00 90.00 120.00°
Positions (direct):
Sm1 0.000 0.471 0.096
Sm2 0.000 0.471 0.404
Sm3 0.000 0.529 0.596
Sm4 0.000 0.529 0.904
Sm5 0.471 0.000 0.096
Sm6 0.471 0.000 0.404
Sm7 0.471 0.471 0.596
Sm8 0.471 0.471 0.904
Sm9 0.529 0.000 0.596
Sm10 0.529 0.000 0.904
Sm11 0.529 0.529 0.096
Sm12 0.529 0.529 0.404
Nb1 0.000 0.000 0.000
Nb2 0.000 0.000 0.500
Nb3 0.000 0.272 0.250
Nb4 0.000 0.728 0.750
Nb5 0.272 0.000 0.250
Nb6 0.272 0.272 0.750
Nb7 0.728 0.000 0.750
Nb8 0.728 0.728 0.250
Al1 0.000 0.148 0.750
Al2 0.000 0.159 0.115
Al3 0.000 0.159 0.385
Al4 0.000 0.254 0.530
Al5 0.000 0.254 0.970
Al6 0.000 0.746 0.030
Al7 0.000 0.746 0.470
Al8 0.000 0.841 0.615
Al9 0.000 0.841 0.885
Al10 0.000 0.852 0.250
Al11 0.148 0.000 0.750
Al12 0.148 0.148 0.250
Al13 0.150 0.555 0.250
Al14 0.150 0.595 0.750
Al15 0.158 0.395 0.663
Al16 0.158 0.395 0.837
Al17 0.158 0.764 0.163
Al18 0.158 0.764 0.337
Al19 0.159 0.000 0.115
Al20 0.159 0.000 0.385
Al21 0.159 0.159 0.615
Al22 0.159 0.159 0.885
Al23 0.236 0.395 0.163
Al24 0.236 0.395 0.337
Al25 0.236 0.842 0.663
Al26 0.236 0.842 0.837
Al27 0.247 0.495 0.000
Al28 0.247 0.495 0.500
Al29 0.247 0.753 0.000
Al30 0.247 0.753 0.500
Al31 0.254 0.000 0.530
Al32 0.254 0.000 0.970
Al33 0.254 0.254 0.030
Al34 0.254 0.254 0.470
Al35 0.333 0.667 0.126
Al36 0.333 0.667 0.374
Al37 0.333 0.667 0.626
Al38 0.333 0.667 0.874
Al39 0.395 0.158 0.663
Al40 0.395 0.158 0.837
Al41 0.395 0.236 0.163
Al42 0.395 0.236 0.337
Al43 0.405 0.555 0.750
Al44 0.405 0.850 0.250
Al45 0.445 0.595 0.250
Al46 0.445 0.850 0.750
Al47 0.495 0.247 0.000
Al48 0.495 0.247 0.500
Al49 0.505 0.753 0.000
Al50 0.505 0.753 0.500
Al51 0.555 0.150 0.250
Al52 0.555 0.405 0.750
Al53 0.595 0.150 0.750
Al54 0.595 0.445 0.250
Al55 0.605 0.764 0.663
Al56 0.605 0.764 0.837
Al57 0.605 0.842 0.163
Al58 0.605 0.842 0.337
Al59 0.667 0.333 0.126
Al60 0.667 0.333 0.374
Al61 0.667 0.333 0.626
Al62 0.667 0.333 0.874
Al63 0.746 0.000 0.030
Al64 0.746 0.000 0.470
Al65 0.746 0.746 0.530
Al66 0.746 0.746 0.970
Al67 0.753 0.247 0.000
Al68 0.753 0.247 0.500
Al69 0.753 0.505 0.000
Al70 0.753 0.505 0.500
Al71 0.764 0.158 0.163
Al72 0.764 0.158 0.337
Al73 0.764 0.605 0.663
Al74 0.764 0.605 0.837
Al75 0.841 0.000 0.615
Al76 0.841 0.000 0.885
Al77 0.841 0.841 0.115
Al78 0.841 0.841 0.385
Al79 0.842 0.236 0.663
Al80 0.842 0.236 0.837
Al81 0.842 0.605 0.163
Al82 0.842 0.605 0.337
Al83 0.850 0.405 0.250
Al84 0.850 0.445 0.750
Al85 0.852 0.000 0.250
Al86 0.852 0.852 0.750

Results
Total magnetic moment in μB/f.u.: 0.00
ΔE_f in kJ/mol of atoms: -35
Theoretical density in g/cm³: 4.26
SG: P6_3/mcm, No. 193
N(E_F) in states/eV per cell: 34.831